An optimized crystal structure of Ca2Mn2Si4H6O17. Source: the Alexandria database, functional PBEsol.

a = 5.3361 Å, b = 5.3390 Å, c = 11.9240 Å
α = 86.51°, β = 86.53°, γ = 66.86°
Last column: nearest neighbours and their distance in Å.
Atoms (fractional coordinates):
O 0.4566 0.4143 0.7337  2 H 1.00-1.02
O 0.9120 0.0884 0.4998  2 Si 1.62
O 0.3521 0.9088 0.8749  1 Si 1.62
O 0.8923 0.3662 0.8742  1 Si 1.62
O 0.1257 0.1408 0.0759  1 Si 1.68
O 0.0832 0.5924 0.4175  1 H 1.06
O 0.5877 0.5418 0.2663  2 H 1.00-1.02
O 0.6353 0.6515 0.0545  1 H 1.56
O 0.0323 0.4278 0.6172  1 H 1.47, 1 Si 1.61
O 0.5729 0.9667 0.3828  1 H 1.47, 1 Si 1.61
O 0.9890 0.9823 0.7208  2 Si 1.66
O 0.3485 0.3644 0.9455  1 H 1.56
O 0.0187 0.0099 0.2790  2 Si 1.66
O 0.6338 0.1071 0.1258  1 Si 1.62
O 0.8589 0.8741 0.9240  1 Si 1.68
O 0.0915 0.6474 0.1250  1 Si 1.62
O 0.4075 0.9184 0.5827  1 H 1.06
Mn 0.9919 0.5072 0.9997  6 O 1.84-1.98
Mn 0.4925 0.0079 0.0003  6 O 1.84-1.98
Ca 0.2961 0.3138 0.2666  5 O 2.31-2.36
Ca 0.6859 0.7043 0.7336  5 O 2.31-2.36
Si 0.0839 0.1125 0.6035  4 O 1.61-1.66
Si 0.8883 0.9156 0.3964  4 O 1.61-1.66
Si 0.0285 0.0426 0.8518  4 O 1.62-1.68
Si 0.9577 0.9709 0.1481  4 O 1.62-1.68
H 0.4775 0.9336 0.4989  1 O 1.06
H 0.3995 0.3931 0.8159  1 O 1.02
H 0.3021 0.4307 0.6861  1 O 1.00
H 0.6078 0.5995 0.1841  1 O 1.02
H 0.0670 0.5227 0.5013  1 O 1.06
H 0.5705 0.6964 0.3140  1 O 1.00

- raw total energy (eV/f.u.) = -221.39
- spin magnetization (μB/atom) = 0.19

***

An optimized crystal structure of CaReMo2H. Source: the Alexandria database, functional PBEsol.

a = 4.6567 Å, b = 4.6567 Å, c = 5.8744 Å
α = 90.00°, β = 90.00°, γ = 90.00°
Last column: nearest neighbours and their distance in Å.
Atoms (fractional coordinates):
Mo 0.5000 0.0000 0.0000  2 Re 2.33
Mo 0.0000 0.5000 0.0000  2 Re 2.33
Ca 0.0000 0.0000 0.5000  2 Re 2.94
H 0.5000 0.5000 0.5000  4 Ca 3.29
Re 0.0000 0.0000 0.0000  4 Mo 2.33

- raw total energy (eV/f.u.) = -33.01
- spin magnetization (μB/atom) = 0.56

***

An optimized crystal structure of CaHN. Source: the Alexandria database, functional PBEsol.

a = 3.4970 Å, b = 3.7490 Å, c = 3.4970 Å
α = 62.20°, β = 90.00°, γ = 117.80°
Last column: nearest neighbours and their distance in Å.
Atoms (fractional coordinates):
N 0.5435 0.0869 0.4565  1 H 1.04
H 0.3589 0.7178 0.6411  1 N 1.04
Ca 0.9476 0.8952 0.0524  5 N 2.28-2.53, 5 H 2.32-2.52

- energy relative to the lowest polymorph listed for this composition (eV per formula unit) = 0.127
- spin magnetization (μB/atom) = 0.00

***

An optimized crystal structure of CaHN. Source: the Alexandria database, functional PBEsol.

a = 4.7881 Å, b = 5.0303 Å, c = 6.0031 Å
α = 90.00°, β = 90.00°, γ = 90.00°
Last column: nearest neighbours and their distance in Å.
Atoms (fractional coordinates):
N 0.2500 0.7522 0.0535  1 H 1.05
N 0.2500 0.2522 0.4465  1 H 1.05
N 0.7500 0.7478 0.5535  1 H 1.05
N 0.7500 0.2478 0.9465  1 H 1.05
H 0.7500 0.7191 0.3811  1 N 1.05
H 0.2500 0.2809 0.6189  1 N 1.05
H 0.2500 0.7809 0.8811  1 N 1.05
H 0.7500 0.2191 0.1189  1 N 1.05
Ca 0.2500 0.7550 0.4336  5 N 2.28-2.53, 2 H 2.42
Ca 0.2500 0.2550 0.0664  5 N 2.28-2.53, 2 H 2.42
Ca 0.7500 0.2450 0.5664  5 N 2.28-2.53, 2 H 2.42
Ca 0.7500 0.7450 0.9336  5 N 2.28-2.53, 2 H 2.42

- energy relative to the lowest polymorph listed for this composition (eV per formula unit) = 0.000
- spin magnetization (μB/atom) = 0.00

***

An optimized crystal structure of CaHNO2. Source: the Alexandria database, functional PBEsol.

a = 4.4730 Å, b = 4.4730 Å, c = 5.2859 Å
α = 90.00°, β = 90.00°, γ = 90.00°
Last column: nearest neighbours and their distance in Å.
Atoms (fractional coordinates):
Ca 0.0000 0.0000 0.0000  4 O 2.24
O 0.0000 0.5000 0.0000  2 Ca 2.24
O 0.5000 0.0000 0.0000  2 Ca 2.24
H 0.5000 0.5000 0.5000  4 N 3.16, 8 O 3.46
N 0.0000 0.0000 0.5000  2 Ca 2.64

- raw total energy (eV/f.u.) = -19.12
- spin magnetization (μB/atom) = 1.21

***

An optimized crystal structure of CaHNO2. Source: the Alexandria database, functional PBEsol.

a = 2.7652 Å, b = 3.8898 Å, c = 3.8898 Å
α = 90.00°, β = 90.00°, γ = 90.00°
Last column: nearest neighbours and their distance in Å.
Atoms (fractional coordinates):
O 0.0000 0.0000 0.5000  2 H 1.94
O 0.0000 0.5000 0.0000  2 H 1.94
N 0.5000 0.0000 0.0000  2 H 1.38
Ca 0.5000 0.5000 0.5000  8 O 2.39
H 0.0000 0.0000 0.0000  2 N 1.38

- raw total energy (eV/f.u.) = -24.81
- spin magnetization (μB/atom) = 0.03

***

An optimized crystal structure of CaH12S2N2O10. Source: the Alexandria database, functional PBEsol.

a = 6.8910 Å, b = 6.8910 Å, c = 11.4833 Å
α = 81.92°, β = 81.92°, γ = 64.46°
Last column: nearest neighbours and their distance in Å.
Atoms (fractional coordinates):
H 0.6385 0.2630 0.9662  1 O 0.99
H 0.3615 0.7370 0.0338  1 O 0.99
H 0.8396 0.4353 0.1487  1 N 1.04
H 0.2200 0.1678 0.5524  1 O 0.99
H 0.4525 0.6983 0.4061  1 O 1.00
H 0.5647 0.1604 0.3513  1 N 1.04
H 0.5475 0.3017 0.5939  1 O 1.00
H 0.6905 0.6431 0.6962  1 N 1.04
H 0.2630 0.6385 0.4662  1 O 0.99
H 0.7834 0.0467 0.4891  1 O 1.00
H 0.6431 0.6905 0.1962  1 N 1.04
H 0.4353 0.8396 0.6487  1 N 1.04
H 0.1678 0.2200 0.0524  1 O 0.99
H 0.3095 0.3569 0.3038  1 N 1.04
H 0.0467 0.7834 0.9891  1 O 1.00
H 0.3017 0.5475 0.0939  1 O 1.00
H 0.6983 0.4525 0.9061  1 O 1.00
H 0.8322 0.7800 0.9476  1 O 0.99
H 0.9533 0.2166 0.0109  1 O 1.00
H 0.3569 0.3095 0.8038  1 N 1.04
H 0.7370 0.3615 0.5338  1 O 0.99
H 0.1604 0.5647 0.8513  1 N 1.04
H 0.2166 0.9533 0.5109  1 O 1.00
H 0.7800 0.8322 0.4476  1 O 0.99
O 0.4135 0.2680 0.0740  1 S 1.49
O 0.7320 0.5865 0.4260  1 S 1.49
O 0.7081 0.2451 0.5839  2 H 0.99-1.00
O 0.5865 0.7320 0.9260  1 S 1.49
O 0.0009 0.2513 0.3446  1 S 1.46
O 0.9991 0.7487 0.6554  1 S 1.46
O 0.7956 0.9674 0.4196  2 H 0.99-1.00
O 0.4173 0.9533 0.1991  1 S 1.48
O 0.9674 0.7956 0.9196  2 H 0.99-1.00
O 0.2044 0.0326 0.5804  2 H 0.99-1.00
O 0.9533 0.4173 0.6991  1 S 1.48
O 0.7487 0.9991 0.1554  1 S 1.46
O 0.2680 0.4135 0.5740  1 S 1.49
O 0.0467 0.5827 0.3009  1 S 1.48
O 0.2919 0.7549 0.4161  2 H 0.99-1.00
O 0.7549 0.2919 0.9161  2 H 0.99-1.00
O 0.5827 0.0467 0.8009  1 S 1.48
O 0.0326 0.2044 0.0804  2 H 0.99-1.00
O 0.2451 0.7081 0.0839  2 H 0.99-1.00
O 0.2513 0.0009 0.8446  1 S 1.46
S 0.4864 0.8885 0.8245  3 O 1.46-1.49, 1 N 1.59
S 0.8885 0.4864 0.3245  3 O 1.46-1.49, 1 N 1.59
S 0.1115 0.5136 0.6755  3 O 1.46-1.49, 1 N 1.59
S 0.5136 0.1115 0.1755  3 O 1.46-1.49, 1 N 1.59
N 0.2518 0.4687 0.7836  2 H 1.04
N 0.7482 0.5313 0.2164  2 H 1.04
N 0.4687 0.2518 0.2836  2 H 1.04
N 0.5313 0.7482 0.7164  2 H 1.04
Ca 0.0694 0.9306 0.2500  8 O 2.43-2.47
Ca 0.9306 0.0694 0.7500  8 O 2.43-2.47

- raw total energy (eV/f.u.) = -151.79
- spin magnetization (μB/atom) = 0.00

***

An optimized crystal structure of CaTeHN2. Source: the Alexandria database, functional PBEsol.

a = 4.4966 Å, b = 4.4966 Å, c = 6.3042 Å
α = 90.00°, β = 90.00°, γ = 90.00°
Last column: nearest neighbours and their distance in Å.
Atoms (fractional coordinates):
Te 0.0000 0.0000 0.5000  2 Ca 3.15, 4 H 3.18
Ca 0.0000 0.0000 0.0000  4 N 2.25
N 0.5000 0.0000 0.0000  2 Ca 2.25
N 0.0000 0.5000 0.0000  2 Ca 2.25
H 0.5000 0.5000 0.5000  4 Te 3.18

- raw total energy (eV/f.u.) = -16.94
- spin magnetization (μB/atom) = 0.84